# 1
Entry from the Alexandria database: an optimized crystal structure of Pr3Nd7Y (PBE-GGA).

Unit cell a=6.5730 b=7.8843 c=7.8843 alpha=81.93 beta=86.37 gamma=86.37
With the nearest neighbours (Å) after each atom.
Positions (direct):
1 Nd 0.7858 0.2397 0.2397  5 Nd 3.40-3.62, 1 Y 3.49, 3 Pr 3.55-3.56
2 Nd 0.7387 0.9161 0.5713  6 Nd 3.40-3.81, 3 Pr 3.62-3.76
3 Nd 0.7387 0.5713 0.9161  6 Nd 3.40-3.81, 3 Pr 3.62-3.76
4 Nd 0.0000 0.5000 0.5000  2 Y 3.29, 2 Pr 3.38, 2 Nd 3.51
5 Nd 0.2613 0.0839 0.4287  6 Nd 3.40-3.81, 3 Pr 3.62-3.76
6 Nd 0.2613 0.4287 0.0839  6 Nd 3.40-3.81, 3 Pr 3.62-3.76
7 Nd 0.2142 0.7603 0.7603  5 Nd 3.40-3.62, 1 Y 3.49, 3 Pr 3.55-3.56
8 Pr 0.0000 0.1727 0.8273  7 Nd 3.38-3.63, 3 Pr 3.57-3.74
9 Pr 0.0000 0.8273 0.1727  7 Nd 3.38-3.63, 3 Pr 3.57-3.74
10 Pr 0.5000 0.0000 0.0000  6 Nd 3.55-3.76, 4 Pr 3.74
11 Y 0.5000 0.5000 0.5000  4 Nd 3.29-3.49

Results
DFT total energy = -4.705 eV/atom
space-group type = C2/m, No. 12
calculated volume = 36.6 Å³/atom
ΔE_f = 0.22 eV per atom
magnetization = 0.000 μB/atom
Fermi-level density of states = 15.82 states/eV/f.u.


# 2
Entry from the Alexandria database: an optimized crystal structure of LaTbI (PBE-GGA).

Unit cell a=3.8756 b=5.4487 c=5.4487 alpha=120.00 beta=90.00 gamma=90.00
With the nearest neighbours (Å) after each atom.
Positions (direct):
1 La 0.0002 0.0000 0.0000  6 I 3.69-3.70, 6 Tb 3.69-3.70, 2 La 3.88
2 Tb 0.4999 0.6667 0.3333  3 I 3.15
3 I 0.4999 0.3333 0.6667  3 Tb 3.15

Results
DFT total energy = -3.951 eV/atom
space-group type = P-6m2, No. 187
calculated volume = 33.2 Å³/atom
magnetization = 0.000 μB/atom
Fermi-level density of states = 3.88 states/eV/f.u.


# 3
Entry from the Alexandria database: an optimized crystal structure of CeEr2Sc (PBE-GGA).

Unit cell a=4.8664 b=4.8611 c=4.8611 alpha=90.00 beta=90.00 gamma=90.00
With the nearest neighbours (Å) after each atom.
Positions (direct):
1 Er 0.0000 0.5000 0.0000  4 Er 3.44, 4 Ce 3.44, 4 Sc 3.44
2 Er 0.0000 0.0000 0.5000  4 Er 3.44, 4 Ce 3.44, 4 Sc 3.44
3 Ce 0.5000 0.5000 0.5000  4 Sc 3.44, 8 Er 3.44
4 Sc 0.5000 0.0000 0.0000  4 Ce 3.44, 8 Er 3.44

Results
DFT total energy = -5.272 eV/atom
space-group type = P4/mmm, No. 123
calculated volume = 28.7 Å³/atom
ΔE_f = 0.08 eV per atom
magnetization = 0.110 μB/atom
Fermi-level density of states = 7.60 states/eV/f.u.


# 4
Entry from the Alexandria database: an optimized crystal structure of Pr6Sb3Pb (PBE-GGA).

Unit cell a=7.9919 b=9.6374 c=9.6374 alpha=106.03 beta=90.00 gamma=90.00
With the nearest neighbours (Å) after each atom.
Positions (direct):
1 Pr 0.1542 0.7211 0.6295  4 Sb 3.15-3.24
2 Pr 0.2411 0.4589 0.9104  3 Sb 3.20-3.26, 1 Pb 3.31
3 Pr 0.7411 0.5411 0.0896  3 Sb 3.20-3.26, 1 Pb 3.31
4 Pr 0.7542 0.0002 0.9998  4 Sb 3.21-3.42, 2 Pb 3.26-3.33
5 Pr 0.2542 0.9998 0.0002  4 Sb 3.21-3.42, 2 Pb 3.26-3.33
6 Pr 0.6542 0.6295 0.7211  4 Sb 3.15-3.24
7 Pr 0.7411 0.9104 0.4589  3 Sb 3.20-3.26, 1 Pb 3.31
8 Pr 0.2411 0.0896 0.5411  3 Sb 3.20-3.26, 1 Pb 3.31
9 Pr 0.1255 0.7520 0.2480  1 Pb 3.21, 3 Sb 3.27-3.41
10 Pr 0.1542 0.3705 0.2789  4 Sb 3.15-3.24
11 Pr 0.6255 0.2480 0.7520  1 Pb 3.21, 3 Sb 3.27-3.41
12 Pr 0.6542 0.2789 0.3705  4 Sb 3.15-3.24
13 Sb 0.8525 0.5818 0.4182  7 Pr 3.20-3.41
14 Sb 0.4825 0.9215 0.7151  7 Pr 3.15-3.42
15 Sb 0.3525 0.4182 0.5818  7 Pr 3.20-3.41
16 Sb 0.9825 0.7151 0.9215  7 Pr 3.15-3.42
17 Sb 0.4825 0.2849 0.0785  7 Pr 3.15-3.42
18 Sb 0.9825 0.0785 0.2849  7 Pr 3.15-3.42
19 Pb 0.4976 0.8297 0.1703  5 Pr 3.21-3.33
20 Pb 0.9976 0.1703 0.8297  5 Pr 3.21-3.33

Results
DFT total energy = -5.186 eV/atom
space-group type = Cmc2_1, No. 36
calculated volume = 35.7 Å³/atom
magnetization = 0.177 μB/atom
Fermi-level density of states = 8.15 states/eV/f.u.


# 5
Entry from the Alexandria database: an optimized crystal structure of DyTl2Pd7 (PBE-GGA).

Unit cell a=4.2451 b=8.1292 c=8.1292 alpha=125.97 beta=90.00 gamma=90.00
With the nearest neighbours (Å) after each atom.
Positions (direct):
1 Tl 0.5000 0.3054 0.6946  5 Pd 2.72-2.82
2 Tl 0.5000 0.6946 0.3054  5 Pd 2.72-2.82
3 Pd 0.0000 0.8116 0.1884  2 Tl 2.72, 1 Dy 2.73, 4 Pd 2.83
4 Pd 0.5000 0.0835 0.2827  5 Pd 2.70-2.88, 1 Tl 2.72, 2 Dy 2.90
5 Pd 0.5000 0.7173 0.9165  5 Pd 2.70-2.88, 1 Tl 2.72, 2 Dy 2.90
6 Pd 0.0000 0.1884 0.8116  2 Tl 2.72, 1 Dy 2.73, 4 Pd 2.83
7 Pd 0.5000 0.5000 0.5000  4 Pd 2.75, 2 Tl 2.82
8 Pd 0.5000 0.9165 0.7173  5 Pd 2.70-2.88, 1 Tl 2.72, 2 Dy 2.90
9 Pd 0.5000 0.2827 0.0835  5 Pd 2.70-2.88, 1 Tl 2.72, 2 Dy 2.90
10 Dy 0.0000 0.0000 0.0000  10 Pd 2.73-2.90

Results
DFT total energy = -4.629 eV/atom
space-group type = Cmmm, No. 65
calculated volume = 22.7 Å³/atom
ΔE_f = -0.06 eV per atom
magnetization = 0.000 μB/atom
Fermi-level density of states = 6.14 states/eV/f.u.


# 6
Entry from the Alexandria database: an optimized crystal structure of ScSb2 (PBE-GGA).

Unit cell a=5.5992 b=5.5992 c=7.8633 alpha=71.47 beta=71.47 gamma=41.46
With the nearest neighbours (Å) after each atom.
Positions (direct):
1 Sb 0.6304 0.6304 0.2574  3 Sb 3.03-3.14, 3 Sc 3.07-3.09
2 Sb 0.0257 0.0257 0.9580  5 Sc 2.93-3.09, 1 Sb 2.97
3 Sb 0.3140 0.3140 0.3537  3 Sb 3.03-3.14, 3 Sc 3.07-3.09
4 Sb 0.9187 0.9187 0.6531  5 Sc 2.93-3.09, 1 Sb 2.97
5 Sc 0.6418 0.6418 0.6421  8 Sb 2.93-3.09
6 Sc 0.3027 0.3027 0.9690  8 Sb 2.93-3.09

Results
DFT total energy = -5.421 eV/atom
space-group type = C2/m, No. 12
calculated volume = 25.6 Å³/atom
magnetization = 0.000 μB/atom
Fermi-level density of states = 1.52 states/eV/f.u.


# 7
Entry from the Alexandria database: an optimized crystal structure of MgSb2Pt (PBE-GGA).

Unit cell a=4.9944 b=4.9944 c=4.9944 alpha=60.00 beta=60.00 gamma=60.00
With the nearest neighbours (Å) after each atom.
Positions (direct):
1 Mg 0.5000 0.5000 0.5000  4 Pt 3.06, 4 Sb 3.06
2 Pt 0.2500 0.2500 0.2500  4 Sb 3.06, 4 Mg 3.06
3 Sb 0.7500 0.7500 0.7500  4 Sb 3.06, 4 Mg 3.06
4 Sb 0.0000 0.0000 0.0000  4 Sb 3.06, 4 Pt 3.06

Results
DFT total energy = -3.983 eV/atom
space-group type = F-43m, No. 216
calculated volume = 22.0 Å³/atom
magnetization = 0.000 μB/atom
Fermi-level density of states = 1.32 states/eV/f.u.


# 8
Entry from the Alexandria database: an optimized crystal structure of K3Ho3GeSe8 (PBE-GGA).

Unit cell a=8.1836 b=8.1862 c=9.1822 alpha=116.48 beta=90.00 gamma=119.99
With the nearest neighbours (Å) after each atom.
Positions (direct):
1 K 0.5000 0.5000 0.0000  6 Se 3.32-3.33
2 K 0.0000 0.5000 0.0000  6 Se 3.32-3.33
3 K 0.0000 0.0000 0.0000  6 Se 3.32-3.33
4 Ho 0.5000 0.0000 0.5000  6 Se 2.86-2.88
5 Ho 0.5000 0.5000 0.5000  6 Se 2.86-2.88
6 Ho 0.0000 0.5000 0.5000  6 Se 2.86-2.88
7 Se 0.7804 0.5607 0.3076  1 Ge 2.67, 2 Ho 2.88
8 Se 0.2196 0.4393 0.6924  1 Ge 2.67, 2 Ho 2.88
9 Se 0.2196 0.9728 0.6924  1 Ge 2.67, 2 Ho 2.88
10 Se 0.7804 0.0272 0.3076  1 Ge 2.67, 2 Ho 2.88
11 Se 0.7532 0.9728 0.6924  1 Ge 2.67, 2 Ho 2.88
12 Se 0.2468 0.0272 0.3076  1 Ge 2.67, 2 Ho 2.88
13 Se 0.2654 0.5308 0.2961  3 Ho 2.86
14 Se 0.7346 0.4692 0.7039  3 Ho 2.86
15 Ge 0.0000 0.0000 0.5000  6 Se 2.67

Results
DFT total energy = -4.686 eV/atom
space-group type = R-3m, No. 166
calculated volume = 30.4 Å³/atom
magnetization = 0.000 μB/atom
Fermi-level density of states = 1.96 states/eV/f.u.


# 9
Entry from the Alexandria database: an optimized crystal structure of OsRu2Pb (PBE-GGA).

Unit cell a=4.7495 b=4.7495 c=5.1131 alpha=80.72 beta=80.72 gamma=35.59
With the nearest neighbours (Å) after each atom.
Positions (direct):
1 Os 0.7500 0.7500 0.7500  6 Ru 2.70-2.74, 2 Os 2.90, 4 Pb 2.94
2 Ru 0.0080 0.0080 0.9626  4 Ru 2.64-2.90, 3 Os 2.70-2.74, 3 Pb 2.84-2.92
3 Ru 0.4920 0.4920 0.5374  4 Ru 2.64-2.90, 3 Os 2.70-2.74, 3 Pb 2.84-2.92
4 Pb 0.2500 0.2500 0.2500  6 Ru 2.84-2.92, 2 Pb 2.90, 4 Os 2.94

Results
DFT total energy = -7.757 eV/atom
space-group type = C2/m, No. 12
calculated volume = 16.5 Å³/atom
ΔE_f = 0.62 eV per atom
magnetization = 0.000 μB/atom
Fermi-level density of states = 4.18 states/eV/f.u.


# 10
Entry from the Alexandria database: an optimized crystal structure of Be2PSe (PBE-GGA).

Unit cell a=5.3044 b=5.3044 c=5.3044 alpha=142.13 beta=79.16 gamma=113.50
With the nearest neighbours (Å) after each atom.
Positions (direct):
1 Be 0.4625 0.4625 0.0000  2 P 2.12
2 Be 0.0375 0.0375 0.0000  2 P 2.12
3 Se 0.7500 0.2500 0.5000  4 Be 2.40
4 P 0.2500 0.7500 0.5000  4 Be 2.12

Results
DFT total energy = -3.767 eV/atom
space-group type = Immm, No. 71
calculated volume = 20.5 Å³/atom
magnetization = 0.000 μB/atom
Fermi-level density of states = 1.56 states/eV/f.u.